# ZnPH2 PBE relaxed
# Crystal system: triclinic
# Distance to the lowest polymorph of the same formula: 149 meV per atom
# Calculated density: 2784 kg/m³
# Density of states at the Fermi level: 0.5 states/eV/cell
# Size of the total moment: 0.00 μB/atom
data_ZnPH2
_cell_length_a 2.526
_cell_length_b 3.859
_cell_length_c 6.543
_cell_angle_alpha 76.70
_cell_angle_beta 80.41
_cell_angle_gamma 71.91
_symmetry_space_group_name_H-M 'P 1'
_symmetry_Int_Tables_number 1
loop_
_symmetry_equiv_pos_as_xyz
'x,y,z'
loop_
_atom_site_label
_atom_site_type_symbol
_atom_site_fract_x
_atom_site_fract_y
_atom_site_fract_z
Zn1 Zn 0.000 0.000 0.000
P1 P 0.990 0.621 0.440
H1 H 0.179 0.239 0.421
H2 H 0.929 0.539 0.669